1.
## Ca2PmSn3 (PBE)

Data for a relaxed structure of Ca2PmSn3.

Geometry as POSCAR:
```
Ca2PmSn3
1.0
-0.923 2.833 1.856
-2.989 -1.585 0.934
6.195 -5.196 11.009
Ca Pm Sn
2 1 3
direct
0.500 0.500 0.835
0.500 0.500 0.165
0.500 0.500 0.500
0.000 0.000 0.000
0.000 0.000 0.667
0.000 0.000 0.333
```

Summary:
Its density of states at the Fermi level is 2.366 states/eV/cell. Its mass density is 5.7 g cm⁻³. The calculation puts the formation energy at -0.641 eV/atom.

***

2.
## Ca3PmSn12 (PBE)

Data for a relaxed structure of Ca3PmSn12.

Geometry as POSCAR:
```
Ca3PmSn12
1.0
4.743 0.000 0.000
0.000 4.743 0.000
0.000 0.000 19.170
Ca Pm Sn
3 1 12
direct
0.000 0.000 0.250
0.000 0.000 0.500
0.000 0.000 0.750
0.000 0.000 0.000
0.500 0.500 0.000
0.500 0.500 0.251
0.500 0.500 0.500
0.500 0.500 0.749
0.500 0.000 0.126
0.500 0.000 0.376
0.500 0.000 0.624
0.500 0.000 0.874
0.000 0.500 0.126
0.000 0.500 0.376
0.000 0.500 0.624
0.000 0.500 0.874
```

Summary:
Its density of states at the Fermi level is 8.838 states/eV/cell. Its mass density is 6.5 g cm⁻³. The calculation puts the formation energy at -0.411 eV/atom.

***

3.
## Ca2PmSn (PBE)

Data for a relaxed structure of Ca2PmSn.

Geometry as POSCAR:
```
Ca2PmSn
1.0
5.190 0.000 0.000
0.000 4.900 0.000
0.000 0.000 4.900
Ca Sn Pm
2 1 1
direct
0.000 0.000 0.500
0.000 0.500 0.000
0.500 0.000 0.000
0.500 0.500 0.500
```

Summary:
Its density of states at the Fermi level is 3.223 states/eV/cell. For the energy above the lowest structure with this stoichiometry, the calculation gives 0 meV/atom. Its mass density is 4.6 g cm⁻³. The calculation puts the formation energy at -0.396 eV/atom.

***

4.
## CaPm7Sn4 (PBE)

Data for a relaxed structure of CaPm7Sn4.

Geometry as POSCAR:
```
CaPm7Sn4
1.0
-0.503 -5.824 0.497
6.772 -4.024 -5.667
4.584 -2.897 5.329
Ca Pm Sn
1 7 4
direct
0.000 0.000 0.000
0.789 0.883 0.539
0.211 0.117 0.461
0.057 0.626 0.260
0.943 0.374 0.740
0.322 0.602 0.755
0.500 0.000 0.000
0.678 0.398 0.245
0.568 0.230 0.634
0.432 0.770 0.366
0.697 0.674 0.932
0.303 0.326 0.068
```

Summary:
Its density of states at the Fermi level is 11.855 states/eV/cell. Its mass density is 6.7 g cm⁻³. The calculation puts the formation energy at -0.310 eV/atom.

***

5.
## CaPm8Sn6 (PBE)

Data for a relaxed structure of CaPm8Sn6.

Geometry as POSCAR:
```
CaPm8Sn6
1.0
-3.660 6.844 -5.254
-7.013 5.238 3.349
0.763 8.233 1.834
Ca Pm Sn
1 8 6
direct
0.000 0.000 0.000
0.571 0.229 0.302
0.771 0.101 0.698
0.101 0.429 0.698
0.667 0.667 0.000
0.333 0.333 0.000
0.899 0.571 0.302
0.229 0.899 0.302
0.429 0.771 0.698
0.407 0.069 0.790
0.931 0.266 0.210
0.266 0.593 0.210
0.734 0.407 0.790
0.069 0.734 0.790
0.593 0.931 0.210
```

Summary:
Its density of states at the Fermi level is 6.771 states/eV/cell. Its mass density is 6.4 g cm⁻³. The calculation puts the formation energy at -0.583 eV/atom.

***

6.
## CaPm5Sn4 (PBE)

Data for a relaxed structure of CaPm5Sn4.

Geometry as POSCAR:
```
CaPm5Sn4
1.0
-0.512 -3.715 -0.017
3.957 -0.503 -9.179
7.533 0.824 6.728
Ca Pm Sn
1 5 4
direct
0.500 0.000 0.000
0.828 0.642 0.657
0.839 0.158 0.678
0.161 0.842 0.322
0.500 0.500 0.000
0.172 0.358 0.343
0.326 0.894 0.652
0.994 0.743 0.988
0.674 0.106 0.348
0.006 0.257 0.012
```

Summary:
Its density of states at the Fermi level is 8.305 states/eV/cell. Its mass density is 5.8 g cm⁻³. The calculation puts the formation energy at -0.307 eV/atom.